No. 1
## K2NiRh2 (PBE)

Data for a relaxed structure of K2NiRh2.

a = 3.855 Å, b = 3.855 Å, c = 7.822 Å
α = 75.73°, β = 75.73°, γ = 90.00°
Site moments in Bohr magnetons follow the coordinates.
Element x y z (fractional)
Ni 0.000 0.000 0.000  0.88
K 0.750 0.250 0.500  0.01
K 0.250 0.750 0.500  0.01
Rh 0.582 0.582 0.836  0.74
Rh 0.418 0.418 0.164  0.74

Calculated values
For the formation energy, the calculation gives 1.409 eV per atom. Its density of states at the Fermi level is 12.14 states/eV/f.u. As for the space group: I4/mmm, No. 139. The spin magnetization comes out at 2.49 μB/f.u.

No. 2
## NaDyTe4Pb2 (PBE)

Data for a relaxed structure of NaDyTe4Pb2.

a = 4.536 Å, b = 7.870 Å, c = 7.899 Å
α = 108.66°, β = 90.00°, γ = 90.00°
Element x y z (fractional)
Dy 0.000 0.000 0.000
Te 0.500 0.762 0.765
Te 0.500 0.238 0.235
Na 0.500 0.500 0.000
Te 0.000 0.243 0.761
Pb 0.000 0.500 0.500
Te 0.000 0.757 0.239
Pb 0.500 0.000 0.500

Calculated values
The uncorrected formation energy is -0.812 eV per atom. As for the space group: P2/m, No. 10. The spin magnetization comes out at 0.00 μB/f.u.

No. 3
## LuCuAu2 (PBE)

Data for a relaxed structure of LuCuAu2.

a = 4.723 Å, b = 4.723 Å, c = 4.723 Å
α = 60.00°, β = 60.00°, γ = 60.00°
Element x y z (fractional)
Cu 0.500 0.500 0.500
Au 0.250 0.250 0.250
Lu 0.000 0.000 0.000
Au 0.750 0.750 0.750

Calculated values
For the formation energy, the calculation gives -0.544 eV per atom. Its density of states at the Fermi level is 1.60 states/eV/f.u. As for the space group: Fm-3m, No. 225. The spin magnetization comes out at 0.00 μB/f.u.

No. 4
## CuTcSe2N (PBE)

Data for a relaxed structure of CuTcSe2N.

a = 4.919 Å, b = 4.919 Å, c = 3.496 Å
α = 90.00°, β = 90.00°, γ = 90.00°
Site moments in Bohr magnetons follow the coordinates.
Element x y z (fractional)
Cu 0.000 0.000 0.000  0.11
Se 0.500 0.000 0.000  -0.04
Tc 0.500 0.500 0.500  2.47
Se 0.000 0.500 0.000  -0.04
N 0.000 0.000 0.500  0.65

Calculated values
The uncorrected formation energy is 1.169 eV per atom. Its density of states at the Fermi level is 5.40 states/eV/f.u. As for the space group: P4/mmm, No. 123. The spin magnetization comes out at 3.70 μB/f.u.